[1]
The following is a DFT calculation (PBE-GGA) of NaSb2Ru after structural relaxation.

Cell and atoms, written as POSCAR:
```
NaSb2Ru
1.0
-0.8750 0.5134 -3.3624
0.9260 -2.3556 -2.4349
-7.5313 -4.9307 -0.6272
Sb Na Ru
2 1 1
Direct
0.2656 0.2656 0.2031 Sb
0.7344 0.7344 0.7969 Sb
0.5000 0.5000 0.5000 Na
0.0000 0.0000 0.0000 Ru
```

Properties
Electronic total energy (eV/cell): -19.21
Formation energy (no corrections) (eV per atom): -0.09

[2]
The following is a DFT calculation (PBE-GGA) of ThCd5Cu2 after structural relaxation.

Cell and atoms, written as POSCAR:
```
ThCd5Cu2
1.0
3.9299 0.0000 1.3064
1.5794 6.3412 1.8130
-0.0722 0.0364 6.7813
Th Cd Cu
1 5 2
Direct
0.0000 0.0000 0.0000 Th
0.0000 0.5000 0.5000 Cd
0.6532 0.5362 0.1573 Cd
0.3468 0.4638 0.8427 Cd
0.3468 0.8427 0.4638 Cd
0.6532 0.1573 0.5362 Cd
0.7226 0.7774 0.7774 Cu
0.2774 0.2226 0.2226 Cu
```

Properties
Formation enthalpy at 0 K (eV/atom): -0.080
Electronic total energy (eV/cell): -20.83

[3]
The following is a DFT calculation (PBE-GGA) of IrPdCl2 after structural relaxation.

Cell and atoms, written as POSCAR:
```
IrPdCl2
1.0
1.2322 -4.0537 1.5286
2.6874 -0.3281 3.5997
-1.6429 -1.5292 3.9051
Ir Pd Cl
1 1 2
Direct
0.5000 0.5000 0.5000 Ir
0.0000 0.0000 0.0000 Pd
0.2500 0.2500 0.2500 Cl
0.7500 0.7500 0.7500 Cl
```

Properties
Electronic total energy (eV/cell): -14.35
Formation energy (no corrections) (eV per atom): 0.85

[4]
The following is a DFT calculation (PBE-GGA) of Tb2SiBRh6 after structural relaxation.

Cell and atoms, written as POSCAR:
```
Tb2SiBRh6
1.0
6.1334 -0.0010 -0.0031
-0.0010 6.1328 -0.0032
3.0640 3.0637 4.3356
Tb Si B Rh
2 1 1 6
Direct
0.7500 0.2500 0.5000 Tb
0.2500 0.7500 0.5000 Tb
0.0000 0.0000 0.0000 Si
0.5000 0.5000 0.0000 B
0.2616 0.2616 0.4770 Rh
0.7383 0.7384 0.0002 Rh
0.2616 0.7385 0.0000 Rh
0.7384 0.2615 0.0000 Rh
0.2617 0.2616 0.9998 Rh
0.7384 0.7384 0.5230 Rh
```

Properties
Electronic total energy (eV/cell): -73.07
Formation energy (no corrections) (eV per atom): -0.76

[5]
The following is a DFT calculation (PBE-GGA) of TcAgRhBr2 after structural relaxation.

Cell and atoms, written as POSCAR:
```
TcAgRhBr2
1.0
5.0031 0.0000 0.0000
0.0000 4.7983 0.0000
0.0000 0.0000 5.0031
Br Rh Tc Ag
2 1 1 1
Direct
0.0000 0.0000 0.5000 Br
0.5000 0.0000 0.0000 Br
0.0000 0.5000 0.0000 Rh
0.0000 0.0000 0.0000 Tc
0.5000 0.5000 0.5000 Ag
```

Properties
Electronic total energy (eV/cell): -20.14
Formation energy (no corrections) (eV per atom): 0.76

[6]
The following is a DFT calculation (PBE-GGA) of Ba2ZrSiOs after structural relaxation.

Cell and atoms, written as POSCAR:
```
Ba2ZrSiOs
1.0
-2.1168 -0.1057 5.9638
-4.0925 -1.7993 -1.4845
2.3113 -5.8484 0.7167
Si Os Ba Zr
1 1 2 1
Direct
0.5000 0.5000 0.5000 Si
0.0000 0.5000 0.0000 Os
0.0000 0.0000 0.5000 Ba
0.5000 0.0000 0.0000 Ba
0.0000 0.0000 0.0000 Zr
```

Properties
Electronic total energy (eV/cell): -23.23
Formation energy (no corrections) (eV per atom): 1.16

[7]
The following is a DFT calculation (PBE-GGA) of Pm6Dy3Y after structural relaxation.

Cell and atoms, written as POSCAR:
```
Pm6Dy3Y
1.0
6.4066 0.0000 0.0000
0.0000 10.9374 -1.7583
0.0000 -4.1547 10.2692
Pm Dy Y
12 6 2
Direct
0.0511 0.7155 0.6278 Pm
0.5511 0.6278 0.7155 Pm
0.3564 0.5165 0.9401 Pm
0.8564 0.9401 0.5165 Pm
0.3758 0.9680 0.0320 Pm
0.6551 0.2810 0.7190 Pm
0.1551 0.7190 0.2810 Pm
0.8758 0.0320 0.9680 Pm
0.3564 0.0599 0.4835 Pm
0.8564 0.4835 0.0599 Pm
0.0511 0.3722 0.2845 Pm
0.5511 0.2845 0.3722 Pm
0.4748 0.9461 0.7156 Dy
0.9748 0.7156 0.9461 Dy
0.0859 0.3864 0.6136 Dy
0.5859 0.6136 0.3864 Dy
0.9748 0.0539 0.2844 Dy
0.4748 0.2844 0.0539 Dy
0.1040 0.1901 0.8099 Y
0.6040 0.8099 0.1901 Y
```

Properties
Formation enthalpy at 0 K (eV/atom): 0.145
Electronic total energy (eV/cell): -94.64

[8]
The following is a DFT calculation (PBE-GGA) of LaPuHg6 after structural relaxation.

Cell and atoms, written as POSCAR:
```
LaPuHg6
1.0
5.1388 0.0000 0.0000
0.0000 6.8133 -0.2146
0.0000 -3.2090 6.0141
La Pu Hg
1 1 6
Direct
0.5000 0.4146 0.5854 La
0.0000 0.0851 0.9149 Pu
0.0000 0.0704 0.4086 Hg
0.0000 0.5914 0.9296 Hg
0.0000 0.5878 0.4122 Hg
0.5000 0.4169 0.0853 Hg
0.5000 0.9147 0.5831 Hg
0.5000 0.9188 0.0812 Hg
```

Properties
Formation enthalpy at 0 K (eV/atom): -0.281
Electronic total energy (eV/cell): -23.31